No. 1
First-principles (PBE) data for a relaxed structure of Ag3HgI3, as listed in the Alexandria database.

Cell lengths 7.9022, 7.9092, 10.6473 Å; angles 96.85, 97.85, 119.48 degrees
Space group P-1 (No. 2)
Asymmetric unit:
Ag 0.0274 0.3596 0.0794 [2 per cell]
Ag 0.2983 0.3002 0.9144 [2 per cell]
Ag 0.3611 0.0250 0.0797 [2 per cell]
Hg 0.2170 0.2014 0.4959 [2 per cell]
I 0.0761 0.7356 0.2029 [2 per cell]
I 0.2602 0.9276 0.7975 [2 per cell]
I 0.4046 0.4006 0.1965 [2 per cell]

Values from the calculation:
- uncorrected formation energy (kJ/mol of formula units) = -126
- total moment (Bohr magnetons per cell) = 0.00
- crystal system = triclinic


No. 2
First-principles (PBE) data for a relaxed structure of AgHg3I2, as listed in the Alexandria database.

Cell lengths 5.3128, 5.7694, 12.3758 Å; angles 90.00, 90.00, 90.00 degrees
Space group Immm (No. 71)
Asymmetric unit:
Ag 0.0000 0.0000 0.0000 [2 per cell]
Hg 0.0000 0.5000 0.0000 [2 per cell]
Hg 0.0000 0.5000 0.3830 [4 per cell]
I 0.0000 0.0000 0.2930 [4 per cell]

Values from the calculation:
- uncorrected formation energy (kJ/mol of formula units) = -2
- total moment (Bohr magnetons per cell) = 0.00
- crystal system = orthorhombic


What is the uncorrected formation energy in the first record?
-126 kJ/mol of formula units